No. 1
The following is a PBE calculation of a geometry-optimized BaCr2Hg structure, from Alexandria.

Output
- Calculated formation energy: 2.2 eV/f.u.
- Total magnetic moment: 8.468 μB/f.u.

Lattice parameters (Å, degrees): 4.8069 4.8069 17.3661 90.00 90.00 120.00
Space group R-3m (No. 166, hexagonal axes)
Unique sites:
Ba 0.0000 0.0000 0.0000 [3 per cell]
Cr 0.0000 0.0000 0.1936 [6 per cell]
Hg 0.0000 0.0000 0.5000 [3 per cell]



No. 2
The following is a PBE calculation of a geometry-optimized NaLaAg structure, from Alexandria.

Output
- Calculated formation energy: 0.1 eV/f.u.
- Total magnetic moment: 0.243 μB/f.u.
- Offset from the most stable computed form: 0.113 eV per atom

Lattice parameters (Å, degrees): 5.2358 5.2358 3.4717 90.00 90.00 120.00
Space group P-6m2 (No. 187)
Unique sites:
Na 0.0000 0.0000 0.0000 [1 per cell]
La 0.6667 0.3333 0.5000 [1 per cell]
Ag 0.3333 0.6667 0.0000 [1 per cell]



No. 3
The following is a PBE calculation of a geometry-optimized Tm3Ga2Ag structure, from Alexandria.

Output
- Calculated formation energy: -2.9 eV/f.u.
- Total magnetic moment: 0.000 μB/f.u.
- Offset from the most stable computed form: 0.009 eV per atom

Lattice parameters (Å, degrees): 3.438 3.438 11.309 90.00 90.00 90.00
Space group P4/mmm (No. 123)
Unique sites:
Tm 0.000 0.000 0.000 [1 per cell]
Tm 0.000 0.000 0.331 [2 per cell]
Ga 0.500 0.500 0.169 [2 per cell]
Ag 0.500 0.500 0.500 [1 per cell]



Raw total energy per entry: -4.8206 -2.9936 -4.2055 eV/atom